Density functional theory data (PBE-GGA) for crystalline PmSmNiCl at its relaxed geometry.

```
PmSmNiCl
1.0
3.261 -1.888 0.000
3.261 1.888 0.000
-2.165 0.000 8.026
Pm Sm Ni Cl
1 1 1 1
direct
0.000 0.000 0.000
0.146 0.146 0.439
0.741 0.741 0.223
0.572 0.572 0.715
```

Results
* SG: No. 8
* final energy: -20.40 eV per cell
* uncorrected formation energy: -3.3 eV per formula unit
* crystal system: monoclinic
* DOS at the Fermi energy: 2.961 states/eV/f.u.